1.
Computed, not measured: a geometry-optimized ReHPb3 structure at the PBE level of DFT.

Lattice parameters (Å, degrees): 4.7677 4.7677 4.7677 90.00 90.00 90.00
Closest atoms and distances in Å follow each position.
Fractional coordinates of all 5 atoms:
Re (0.0000, 0.0000, 0.0000)  12 Pb 3.37
H (0.5000, 0.5000, 0.5000)  6 Pb 2.38
Pb (0.0000, 0.5000, 0.5000)  2 H 2.38
Pb (0.5000, 0.0000, 0.5000)  2 H 2.38
Pb (0.5000, 0.5000, 0.0000)  2 H 2.38

Summary:
Energy relative to the lowest polymorph listed for this composition ... 28.83 kJ per mole of atoms
SG ... No. 221
Size of the total moment ... 2.65 μB/f.u.

2.
Computed, not measured: a geometry-optimized TmAlAu structure at the PBE level of DFT.

Lattice parameters (Å, degrees): 6.5408 6.5408 6.5408 90.00 90.00 90.00
Closest atoms and distances in Å follow each position.
Fractional coordinates of all 12 atoms:
Tm (0.0000, 0.0000, 0.0000)  4 Au 2.83
Tm (0.0000, 0.5000, 0.5000)  4 Au 2.83
Tm (0.5000, 0.0000, 0.5000)  4 Au 2.83
Tm (0.5000, 0.5000, 0.0000)  4 Au 2.83
Al (0.0000, 0.0000, 0.5000)  4 Au 2.83
Al (0.0000, 0.5000, 0.0000)  4 Au 2.83
Al (0.5000, 0.0000, 0.0000)  4 Au 2.83
Al (0.5000, 0.5000, 0.5000)  4 Au 2.83
Au (0.2500, 0.2500, 0.2500)  4 Tm 2.83, 4 Al 2.83
Au (0.2500, 0.7500, 0.7500)  4 Tm 2.83, 4 Al 2.83
Au (0.7500, 0.2500, 0.7500)  4 Tm 2.83, 4 Al 2.83
Au (0.7500, 0.7500, 0.2500)  4 Tm 2.83, 4 Al 2.83

Summary:
E_form ... -58 kJ per mole of atoms
SG ... No. 216
Size of the total moment ... 0.00 μB/f.u.

3.
Computed, not measured: a geometry-optimized TaIrW2 structure at the PBE level of DFT.

Lattice parameters (Å, degrees): 5.5525 8.4826 2.7661 90.00 90.00 90.00
Closest atoms and distances in Å follow each position.
Fractional coordinates of all 8 atoms:
Ta (0.0000, 0.0000, 0.0000)  2 Ta 2.77, 2 Ir 2.78, 8 W 2.89
Ta (0.5000, 0.5000, 0.0000)  2 Ta 2.77, 2 Ir 2.78, 8 W 2.89
Ir (0.0000, 0.5000, 0.0000)  2 Ir 2.77, 2 Ta 2.78, 8 W 2.89
Ir (0.5000, 0.0000, 0.0000)  2 Ir 2.77, 2 Ta 2.78, 8 W 2.89
W (0.2500, 0.2500, 0.5000)  4 W 2.77-2.78, 4 Ta 2.89, 4 Ir 2.89
W (0.2500, 0.7500, 0.5000)  4 W 2.77-2.78, 4 Ta 2.89, 4 Ir 2.89
W (0.7500, 0.2500, 0.5000)  4 W 2.77-2.78, 4 Ta 2.89, 4 Ir 2.89
W (0.7500, 0.7500, 0.5000)  4 W 2.77-2.78, 4 Ta 2.89, 4 Ir 2.89

Summary:
Energy relative to the lowest polymorph listed for this composition ... 16.62 kJ per mole of atoms
E_form ... 7 kJ per mole of atoms
SG ... No. 65
Size of the total moment ... 0.00 μB/f.u.

Table of DOS(E_F) (states/eV/cell), in record order: 3.26 19.93 8.66